DFT (PBEsol) results for a relaxed structure of Ca2CrN2.

Cell and atoms, written as POSCAR:
```
Ca2CrN2
1.0
5.384 -2.487 0.000
5.384 2.487 0.000
-3.164 0.000 5.638
Ca Cr N
4 2 4
Direct
0.032 0.032 0.275 Ca
0.319 0.319 0.878 Ca
0.681 0.681 0.122 Ca
0.968 0.968 0.725 Ca
0.368 0.368 0.368 Cr
0.632 0.632 0.632 Cr
0.194 0.194 0.130 N
0.490 0.490 0.703 N
0.510 0.510 0.297 N
0.806 0.806 0.870 N
```

Output
For the mass density, the calculation gives 3.5 g/cm3. The density of states at the Fermi level comes out at 1.84 states/eV/f.u. The calculation puts the raw formation energy at -0.895 eV per atom. As for the total magnetization: 0.000 μB per atom.